(1)
Density functional theory data (PBE) for Nd2TmCd after structural relaxation.

Summary:
M_tot	0.00	Bohr magnetons per cell
space-group type	P4/nmm, No. 129
relative energy among the computed polymorphs	0.0	meV per atom
ΔE_f	-0.14	eV per atom
DOS(E_F)	9.1	states/eV per cell
VASP energy	-3.87	eV per atom

abc: 5.209 5.209 8.987
angles: 90.00 90.00 90.00
Sites, in units of the cell vectors:
Nd (0.250, 0.250, 0.223)
Nd (0.250, 0.750, 0.500)
Nd (0.750, 0.250, 0.500)
Nd (0.750, 0.750, 0.777)
Tm (0.250, 0.250, 0.780)
Tm (0.750, 0.750, 0.220)
Cd (0.250, 0.750, 0.000)
Cd (0.750, 0.250, 0.000)

=====

(2)
Density functional theory data (PBE) for AgBiTe2 after structural relaxation.

Summary:
M_tot	0.00	Bohr magnetons per cell
space-group type	P4/mmm, No. 123
formation energy without anion corrections	-5.8	kJ per mole of atoms
DOS(E_F)	0.6	states/eV per cell
VASP energy	-3.31	eV per atom

abc: 4.457 4.457 6.101
angles: 90.00 90.00 90.00
Sites, in units of the cell vectors:
Ag (0.000, 0.000, 0.000)
Bi (0.500, 0.500, 0.500)
Te (0.000, 0.000, 0.500)
Te (0.500, 0.500, 0.000)